# MoRh6W2 (PBE, optimized geometry)
# ΔH_f (0 K) (eV/atom): 0.025
data_MoRh6W2
_chemical_formula_sum 'Mo2 Rh12 W4'
_symmetry_space_group_name_H-M 'I m m m'
_symmetry_Int_Tables_number 71
_symmetry_space_group_name_Hall '-I 2 2'
_cell_length_a 2.734
_cell_length_b 7.489
_cell_length_c 13.385
_cell_angle_alpha 90.00
_cell_angle_beta 90.00
_cell_angle_gamma 90.00
loop_
_atom_site_label
_atom_site_type_symbol
_atom_site_fract_x
_atom_site_fract_y
_atom_site_fract_z
Mo1 Mo 0.000 0.000 0.000
Rh1 Rh 0.000 0.322 0.331
Rh2 Rh 0.000 0.500 0.146
W1 W 0.000 0.177 0.500